DFT (PBE) results for an optimized crystal structure of TbCd4Ag.

Total magnetic moment ... 0.00 Bohr magnetons per cell
Electronic total energy ... -48.27 eV for the cell shown
Energy relative to the elements ... -154.3 meV per atom

a b c (Å): 4.267 17.904 7.306
angles (deg): 90.00 90.00 90.00
Space group Cmc2_1 (No. 36)
Unique sites:
Tb1 0.000 0.116 0.000 [4 per cell]
Cd1 0.000 0.069 0.486 [4 per cell]
Cd2 0.000 0.240 0.488 [4 per cell]
Cd3 0.000 0.338 0.187 [4 per cell]
Cd4 0.000 0.498 0.741 [4 per cell]
Ag1 0.000 0.337 0.789 [4 per cell]